A:
Crystalline PaNbIn at its relaxed geometry. Source: OQMD via LeMat-Bulk, functional GGA-PBE.

Values from the calculation:
volume	329.8	Å³/cell
crystal system	cubic
density	8.8	g/cm3

POSCAR file:
```
PaNbIn
1.0
6.909 0.000 0.000
0.000 6.909 0.000
0.000 0.000 6.909
Pa Nb In
4 4 4
Cartesian
0.000 0.000 0.000
0.000 3.455 3.455
3.455 0.000 3.455
3.455 3.455 0.000
1.727 1.727 1.727
1.727 5.182 5.182
5.182 1.727 5.182
5.182 5.182 1.727
1.727 1.727 5.182
1.727 5.182 1.727
5.182 1.727 1.727
5.182 5.182 5.182
```


B:
Crystalline PaNbIn at its relaxed geometry. Source: OQMD via LeMat-Bulk, functional GGA-PBE.

Values from the calculation:
volume	304.7	Å³/cell
crystal system	cubic
density	9.6	g/cm3

POSCAR file:
```
PaNbIn
1.0
6.729 0.000 0.000
0.000 6.729 0.000
0.000 0.000 6.729
Pa Nb In
4 4 4
Cartesian
0.000 0.000 0.000
0.000 3.365 3.365
3.365 0.000 3.365
3.365 3.365 0.000
1.682 1.682 5.047
1.682 5.047 1.682
5.047 1.682 1.682
5.047 5.047 5.047
0.000 0.000 3.365
0.000 3.365 0.000
3.365 0.000 0.000
3.365 3.365 3.365
```


Tell me which of them is the least stable. Sure, it is A.


A:
Crystalline SmNbIn at its relaxed geometry. Source: OQMD via LeMat-Bulk, functional GGA-PBE.

Values from the calculation:
volume	361.2	Å³/cell
crystal system	cubic
density	6.6	g/cm3

POSCAR file:
```
SmNbIn
1.0
7.121 0.000 0.000
0.000 7.121 0.000
0.000 0.000 7.121
Sm Nb In
4 4 4
Cartesian
0.000 0.000 0.000
0.000 3.561 3.561
3.561 0.000 3.561
3.561 3.561 0.000
1.780 1.780 1.780
1.780 5.341 5.341
5.341 1.780 5.341
5.341 5.341 1.780
1.780 1.780 5.341
1.780 5.341 1.780
5.341 1.780 1.780
5.341 5.341 5.341
```


B:
Crystalline SmNbIn at its relaxed geometry. Source: OQMD via LeMat-Bulk, functional GGA-PBE.

Values from the calculation:
volume	344.3	Å³/cell
crystal system	cubic
density	6.9	g/cm3

POSCAR file:
```
SmNbIn
1.0
7.009 0.000 0.000
0.000 7.009 0.000
0.000 0.000 7.009
Sm Nb In
4 4 4
Cartesian
0.000 0.000 0.000
0.000 3.504 3.504
3.504 0.000 3.504
3.504 3.504 0.000
1.752 1.752 5.257
1.752 5.257 1.752
5.257 1.752 1.752
5.257 5.257 5.257
0.000 0.000 3.504
0.000 3.504 0.000
3.504 0.000 0.000
3.504 3.504 3.504
```


Tell me which of them is the least stable. Sure, it is A.


A:
Crystalline NbInSn at its relaxed geometry. Source: OQMD via LeMat-Bulk, functional GGA-PBE.

Values from the calculation:
volume	306.3	Å³/cell
crystal system	cubic
density	7.1	g/cm3

POSCAR file:
```
NbInSn
1.0
6.741 0.000 0.000
0.000 6.741 0.000
0.000 0.000 6.741
Nb In Sn
4 4 4
Cartesian
0.000 0.000 0.000
0.000 3.370 3.370
3.370 0.000 3.370
3.370 3.370 0.000
1.685 1.685 1.685
1.685 5.055 5.055
5.055 1.685 5.055
5.055 5.055 1.685
1.685 1.685 5.055
1.685 5.055 1.685
5.055 1.685 1.685
5.055 5.055 5.055
```


B:
Crystalline NbInSn at its relaxed geometry. Source: OQMD via LeMat-Bulk, functional GGA-PBE.

Values from the calculation:
volume	305.5	Å³/cell
crystal system	cubic
density	7.1	g/cm3

POSCAR file:
```
NbInSn
1.0
6.735 0.000 0.000
0.000 6.735 0.000
0.000 0.000 6.735
Nb In Sn
4 4 4
Cartesian
0.000 0.000 0.000
0.000 3.368 3.368
3.368 0.000 3.368
3.368 3.368 0.000
0.000 0.000 3.368
0.000 3.368 0.000
3.368 0.000 0.000
3.368 3.368 3.368
1.684 1.684 5.051
1.684 5.051 1.684
5.051 1.684 1.684
5.051 5.051 5.051
```


Tell me which of them is the least stable. Sure, it is B.


A:
Crystalline NdInPO at its relaxed geometry. Source: OQMD via LeMat-Bulk, functional GGA-PBE.

Values from the calculation:
volume	165.0	Å³/cell
crystal system	tetragonal
density	6.2	g/cm3

POSCAR file:
```
NdInPO
1.0
4.396 0.000 0.000
0.000 4.396 0.000
0.000 0.000 8.537
Nd In P O
2 2 2 2
Cartesian
1.099 1.099 0.964
3.297 3.297 7.573
1.099 3.297 4.269
3.297 1.099 4.269
1.099 1.099 5.834
3.297 3.297 2.703
1.099 3.297 0.000
3.297 1.099 0.000
```


B:
Crystalline NdInPO at its relaxed geometry. Source: OQMD via LeMat-Bulk, functional GGA-PBE.

Values from the calculation:
volume	165.6	Å³/cell
crystal system	orthorhombic
density	6.1	g/cm3

POSCAR file:
```
NdInPO
1.0
5.054 0.000 0.000
0.000 5.057 0.000
0.000 0.000 6.478
Nd In P O
2 2 2 2
Cartesian
0.000 1.187 0.000
0.000 3.870 3.239
2.527 1.171 2.309
2.527 3.886 5.548
2.527 1.375 4.872
2.527 3.682 1.633
0.000 0.926 2.303
0.000 4.131 5.542
```


C:
Crystalline NdInPO at its relaxed geometry. Source: OQMD via LeMat-Bulk, functional GGA-PBE.

Values from the calculation:
volume	188.3	Å³/cell
crystal system	orthorhombic
density	5.4	g/cm3

POSCAR file:
```
NdInPO
1.0
4.198 0.000 0.000
0.000 7.498 0.000
0.000 0.000 5.983
Nd In P O
2 2 2 2
Cartesian
0.000 1.445 0.000
0.000 6.053 2.991
2.099 2.852 3.395
2.099 4.645 0.404
0.000 1.411 2.939
0.000 6.087 5.930
2.099 2.418 5.759
2.099 5.080 2.768
```


D:
Crystalline NdInPO at its relaxed geometry. Source: OQMD via LeMat-Bulk, functional GGA-PBE.

Values from the calculation:
volume	169.4	Å³/cell
crystal system	tetragonal
density	6.0	g/cm3

POSCAR file:
```
NdInPO
1.0
5.822 0.000 0.000
0.000 5.822 0.000
0.000 0.000 4.998
Nd In P O
2 2 2 2
Cartesian
1.456 4.367 0.000
4.367 1.456 0.000
1.456 1.456 2.477
4.367 4.367 2.521
1.456 1.456 4.976
4.367 4.367 0.022
1.456 4.367 2.499
4.367 1.456 2.499
```


Tell me which of them is the least stable. Sure, it is D.


A:
Crystalline Nd3InSe6 at its relaxed geometry. Source: OQMD via LeMat-Bulk, functional GGA-PBE.

Values from the calculation:
volume	1053.3	Å³/cell
crystal system	orthorhombic
density	6.4	g/cm3

POSCAR file:
```
Nd3InSe6
1.0
14.417 0.000 0.000
0.000 17.656 0.000
0.000 0.000 4.138
Nd In Se
12 4 24
Cartesian
0.589 3.949 0.000
2.696 11.392 0.000
3.584 15.787 2.069
3.624 6.959 0.000
4.512 2.564 2.069
6.619 12.777 2.069
7.798 4.880 2.069
9.904 15.092 2.069
10.793 10.697 0.000
10.832 1.869 2.069
11.721 6.264 0.000
13.828 13.708 0.000
0.000 0.000 2.069
0.000 8.828 2.069
7.208 0.000 0.000
7.208 8.828 0.000
0.334 7.001 0.000
1.362 16.139 0.000
1.615 2.041 2.069
1.619 13.215 2.069
2.627 5.025 2.069
2.748 9.167 2.069
4.460 0.339 0.000
4.582 13.853 0.000
5.589 4.387 0.000
5.594 10.869 0.000
5.846 7.311 2.069
6.875 15.830 2.069
7.542 1.827 2.069
8.570 10.346 2.069
8.823 6.788 0.000
8.827 13.269 0.000
9.835 3.803 0.000
9.957 17.318 0.000
11.669 8.489 2.069
11.790 12.631 2.069
12.798 4.441 2.069
12.802 15.616 2.069
13.055 1.518 0.000
14.083 10.655 0.000
```


B:
Crystalline Nd3InSe6 at its relaxed geometry. Source: OQMD via LeMat-Bulk, functional GGA-PBE.

Values from the calculation:
volume	586.7	Å³/cell
crystal system	orthorhombic
density	5.8	g/cm3

POSCAR file:
```
Nd3InSe6
1.0
5.770 -7.196 0.000
5.770 7.196 0.000
0.000 0.000 7.065
Nd In Se
6 2 12
Cartesian
5.770 5.814 3.533
3.636 1.403 4.219
3.636 -1.403 0.686
7.905 1.403 4.219
7.905 -1.403 0.686
5.770 -5.814 0.000
5.770 2.900 0.891
5.770 -2.900 4.424
3.778 3.874 2.286
1.872 0.462 2.099
1.872 -0.462 5.631
5.770 3.182 5.377
7.762 3.874 2.286
5.770 0.487 2.031
5.770 -0.487 5.563
3.778 -3.874 5.819
5.770 -3.182 1.845
9.668 0.462 2.099
9.668 -0.462 5.631
7.762 -3.874 5.819
```


Tell me which of them is the least stable. Sure, it is B.


A:
Crystalline NdInSn at its relaxed geometry. Source: OQMD via LeMat-Bulk, functional GGA-PBE.

Values from the calculation:
volume	398.3	Å³/cell
crystal system	cubic
density	6.3	g/cm3

POSCAR file:
```
NdInSn
1.0
7.358 0.000 0.000
0.000 7.358 0.000
0.000 0.000 7.358
Nd In Sn
4 4 4
Cartesian
0.000 0.000 0.000
0.000 3.679 3.679
3.679 0.000 3.679
3.679 3.679 0.000
1.839 1.839 5.518
1.839 5.518 1.839
5.518 1.839 1.839
5.518 5.518 5.518
1.839 1.839 1.839
1.839 5.518 5.518
5.518 1.839 5.518
5.518 5.518 1.839
```


B:
Crystalline NdInSn at its relaxed geometry. Source: OQMD via LeMat-Bulk, functional GGA-PBE.

Values from the calculation:
volume	380.6	Å³/cell
crystal system	cubic
density	6.6	g/cm3

POSCAR file:
```
NdInSn
1.0
7.247 0.000 0.000
0.000 7.247 0.000
0.000 0.000 7.247
Nd In Sn
4 4 4
Cartesian
0.000 0.000 0.000
0.000 3.624 3.624
3.624 0.000 3.624
3.624 3.624 0.000
0.000 0.000 3.624
0.000 3.624 0.000
3.624 0.000 0.000
3.624 3.624 3.624
1.812 1.812 5.435
1.812 5.435 1.812
5.435 1.812 1.812
5.435 5.435 5.435
```


Tell me which of them is the least stable. Sure, it is A.


A:
Crystalline InNi17 at its relaxed geometry. Source: OQMD via LeMat-Bulk, functional GGA-PBE.

Values from the calculation:
volume	565.6	Å³/cell
crystal system	trigonal
density	6.5	g/cm3

POSCAR file:
```
InNi17
1.0
4.948 0.000 0.000
-2.474 4.285 0.000
0.000 0.000 26.678
In Ni
2 34
Cartesian
0.000 2.857 8.883
2.474 1.428 17.796
0.000 0.000 0.000
0.000 0.000 6.062
0.000 0.000 20.617
-1.237 2.143 0.000
-1.228 2.148 6.081
0.000 1.422 18.621
-1.243 3.574 18.621
0.000 1.431 4.046
0.000 1.429 24.652
-1.234 3.569 4.046
-1.236 3.570 24.652
1.231 0.711 8.057
0.000 2.857 2.019
0.000 2.857 22.629
1.238 0.715 2.026
1.240 0.716 22.632
1.228 2.148 6.081
0.000 4.275 6.081
2.474 0.000 0.000
1.237 2.143 0.000
2.474 0.010 20.597
1.246 2.137 20.597
1.234 3.569 4.046
1.236 3.570 24.652
2.474 1.428 4.049
2.474 1.428 24.659
1.243 3.574 18.621
3.710 0.715 2.026
3.708 0.716 22.632
2.474 2.856 2.026
2.474 2.854 22.632
3.717 0.711 8.057
2.474 2.863 8.057
3.702 2.137 20.597
```


B:
Crystalline InNi17 at its relaxed geometry. Source: OQMD via LeMat-Bulk, functional GGA-PBE.

Values from the calculation:
volume	607.2	Å³/cell
crystal system	monoclinic
density	6.1	g/cm3

POSCAR file:
```
InNi17
1.0
4.269 0.000 0.000
0.000 4.942 0.000
-0.019 0.000 28.787
In Ni
2 34
Cartesian
0.702 1.235 8.927
3.548 3.706 19.860
0.000 0.000 0.000
-0.003 0.008 6.119
-0.003 2.463 6.119
0.000 2.471 0.000
4.253 2.478 22.668
4.253 4.934 22.668
0.694 1.235 24.722
0.692 3.706 24.707
0.710 1.235 2.040
0.713 3.706 2.032
0.716 3.706 8.120
1.404 0.000 26.749
1.404 2.471 26.749
1.421 0.002 4.078
1.413 0.030 20.673
1.413 2.441 20.673
1.421 2.469 4.078
2.117 1.235 6.136
2.135 1.235 0.004
2.120 1.235 22.686
2.115 3.706 28.783
2.130 3.706 6.101
2.133 3.706 22.650
2.829 4.940 24.708
2.829 2.473 24.708
2.837 2.501 8.114
2.837 4.912 8.114
2.846 0.000 2.037
2.846 2.471 2.037
3.534 1.235 20.667
3.536 1.235 26.755
3.540 3.706 26.746
3.558 1.235 4.079
3.556 3.706 4.064
```


Tell me which of them is the least stable. Sure, it is A.


A:
Crystalline In2NiPd2 at its relaxed geometry. Source: OQMD via LeMat-Bulk, functional GGA-PBE.

Values from the calculation:
volume	189.6	Å³/cell
crystal system	tetragonal
density	8.8	g/cm3

POSCAR file:
```
In2NiPd2
1.0
3.801 0.000 0.000
0.000 3.801 0.000
0.000 0.000 13.121
In Ni Pd
4 2 4
Cartesian
0.000 0.000 1.361
0.000 0.000 11.760
1.900 1.900 5.199
1.900 1.900 7.921
0.000 0.000 6.560
1.900 1.900 0.000
0.000 1.900 3.280
0.000 1.900 9.840
1.900 0.000 3.280
1.900 0.000 9.840
```


B:
Crystalline In2NiPd2 at its relaxed geometry. Source: OQMD via LeMat-Bulk, functional GGA-PBE.

Values from the calculation:
volume	202.2	Å³/cell
crystal system	tetragonal
density	8.2	g/cm3

POSCAR file:
```
In2NiPd2
1.0
4.189 0.000 0.000
0.000 4.189 0.000
0.000 0.000 11.525
In Ni Pd
4 2 4
Cartesian
0.000 2.095 2.881
0.000 2.095 8.644
2.095 0.000 2.881
2.095 0.000 8.644
0.000 0.000 0.000
2.095 2.095 5.762
0.000 0.000 4.515
0.000 0.000 7.009
2.095 2.095 1.247
2.095 2.095 10.278
```


Tell me which of them is the least stable. Sure, it is B.


A:
Crystalline In2NiPd at its relaxed geometry. Source: OQMD via LeMat-Bulk, functional GGA-PBE.

Values from the calculation:
volume	274.1	Å³/cell
crystal system	orthorhombic
density	9.6	g/cm3

POSCAR file:
```
In2NiPd
1.0
3.367 0.000 0.000
0.000 10.337 0.000
0.000 0.000 7.875
In Ni Pd
8 4 4
Cartesian
0.000 1.293 0.451
0.000 1.293 3.486
0.000 9.044 4.389
0.000 9.044 7.424
1.683 3.876 4.389
1.683 3.876 7.424
1.683 6.462 0.451
1.683 6.462 3.486
0.000 4.934 1.969
0.000 5.403 5.906
1.683 0.235 5.906
1.683 10.102 1.969
0.000 2.370 5.906
0.000 7.967 1.969
1.683 2.798 1.969
1.683 7.539 5.906
```


B:
Crystalline In2NiPd at its relaxed geometry. Source: OQMD via LeMat-Bulk, functional GGA-PBE.

Values from the calculation:
volume	277.3	Å³/cell
crystal system	cubic
density	9.5	g/cm3

POSCAR file:
```
In2NiPd
1.0
6.521 0.000 0.000
0.000 6.521 0.000
0.000 0.000 6.521
In Ni Pd
8 4 4
Cartesian
0.000 0.000 0.000
0.000 3.260 3.260
1.630 1.630 1.630
1.630 4.890 4.890
3.260 0.000 3.260
3.260 3.260 0.000
4.890 1.630 4.890
4.890 4.890 1.630
0.000 0.000 3.260
0.000 3.260 0.000
3.260 0.000 0.000
3.260 3.260 3.260
1.630 1.630 4.890
1.630 4.890 1.630
4.890 1.630 1.630
4.890 4.890 4.890
```


Tell me which of them is the least stable. Sure, it is B.


A:
Crystalline ScInNiPd at its relaxed geometry. Source: OQMD via LeMat-Bulk, functional GGA-PBE.

Values from the calculation:
volume	271.9	Å³/cell
crystal system	cubic
density	7.9	g/cm3

POSCAR file:
```
ScInNiPd
1.0
6.478 0.000 0.000
0.000 6.478 0.000
0.000 0.000 6.478
Sc In Ni Pd
4 4 4 4
Cartesian
0.000 0.000 0.000
0.000 3.239 3.239
3.239 0.000 3.239
3.239 3.239 0.000
1.620 1.620 1.620
1.620 4.859 4.859
4.859 1.620 4.859
4.859 4.859 1.620
0.000 0.000 3.239
0.000 3.239 0.000
3.239 0.000 0.000
3.239 3.239 3.239
1.620 1.620 4.859
1.620 4.859 1.620
4.859 1.620 1.620
4.859 4.859 4.859
```


B:
Crystalline ScInNiPd at its relaxed geometry. Source: OQMD via LeMat-Bulk, functional GGA-PBE.

Values from the calculation:
volume	267.7	Å³/cell
crystal system	cubic
density	8.1	g/cm3

POSCAR file:
```
ScInNiPd
1.0
6.445 0.000 0.000
0.000 6.445 0.000
0.000 0.000 6.445
Sc In Ni Pd
4 4 4 4
Cartesian
0.000 0.000 0.000
0.000 3.223 3.223
3.223 0.000 3.223
3.223 3.223 0.000
0.000 0.000 3.223
0.000 3.223 0.000
3.223 0.000 0.000
3.223 3.223 3.223
1.611 1.611 4.834
1.611 4.834 1.611
4.834 1.611 1.611
4.834 4.834 4.834
1.611 1.611 1.611
1.611 4.834 4.834
4.834 1.611 4.834
4.834 4.834 1.611
```


Tell me which of them is the least stable. Sure, it is A.